Record 1
A crystal of MnCoRe2 relaxed with PBEsol, computed with meta-GGA SCAN.

Output
N(E_F) in states/eV/atom: 0.5723
M_tot in Bohr magnetons per cell: 0.6
Energy above the lowest structure with this stoichiometry in meV per atom: 0.0
Uncorrected energy in eV/cell: -177.9

Geometry as CIF:
```
data_MnCoRe2
_cell_length_a 3.710
_cell_length_b 3.710
_cell_length_c 3.614
_cell_angle_alpha 90.00
_cell_angle_beta 90.00
_cell_angle_gamma 90.00
_symmetry_space_group_name_H-M 'P 4/m m m'
_symmetry_Int_Tables_number 123
_symmetry_space_group_name_Hall '-P 4 2'
loop_
_atom_site_label
_atom_site_type_symbol
_atom_site_fract_x
_atom_site_fract_y
_atom_site_fract_z
Mn1 Mn 0.000 0.000 0.000
Co1 Co 0.500 0.500 0.000
Re1 Re 0.000 0.500 0.500
```

---

Record 2
A crystal of MnCoRe2 relaxed with PBEsol, computed with meta-GGA SCAN.

Output
N(E_F) in states/eV/atom: 0.7933
M_tot in Bohr magnetons per cell: 0.8
Energy above the lowest structure with this stoichiometry in meV per atom: 50.8
Uncorrected energy in eV/cell: -177.7

Geometry as CIF:
```
data_MnCoRe2
_cell_length_a 2.628
_cell_length_b 4.195
_cell_length_c 4.485
_cell_angle_alpha 90.00
_cell_angle_beta 90.00
_cell_angle_gamma 90.00
_symmetry_space_group_name_H-M 'P m m 2'
_symmetry_Int_Tables_number 25
loop_
_symmetry_equiv_pos_as_xyz
'x,y,z'
'-x,-y,z'
'-x,y,z'
'x,-y,z'
loop_
_atom_site_label
_atom_site_type_symbol
_atom_site_fract_x
_atom_site_fract_y
_atom_site_fract_z
Mn1 Mn 0.000 0.000 0.000
Co1 Co 0.000 0.500 0.335
Re1 Re 0.500 0.000 0.487
Re2 Re 0.500 0.500 0.843
```

---

Record 3
A crystal of MnCo6Re relaxed with PBEsol, computed with meta-GGA SCAN.

Output
N(E_F) in states/eV/atom: 0.7178
M_tot in Bohr magnetons per cell: 29.0
Uncorrected energy in eV/cell: -1535.6

Geometry as CIF:
```
data_MnCo6Re
_cell_length_a 6.970
_cell_length_b 9.881
_cell_length_c 9.881
_cell_angle_alpha 90.00
_cell_angle_beta 90.00
_cell_angle_gamma 90.00
_symmetry_space_group_name_H-M 'C m m m'
_symmetry_Int_Tables_number 65
_symmetry_space_group_name_Hall '-C 2 2'
loop_
_atom_site_label
_atom_site_type_symbol
_atom_site_fract_x
_atom_site_fract_y
_atom_site_fract_z
Mn1 Mn 0.000 0.000 0.245
Mn2 Mn 0.000 0.253 0.000
Co1 Co 0.000 0.000 0.000
Co2 Co 0.000 0.000 0.500
Co3 Co 0.000 0.250 0.249
Co4 Co 0.000 0.500 0.000
Co5 Co 0.000 0.500 0.500
Co6 Co 0.249 0.125 0.124
Co7 Co 0.249 0.125 0.375
Re1 Re 0.000 0.251 0.500
Re2 Re 0.000 0.500 0.245
```

---

Record 4
A crystal of YMnCo2Re relaxed with PBEsol, computed with meta-GGA SCAN.

Output
N(E_F) in states/eV/atom: 1.1082
M_tot in Bohr magnetons per cell: 3.5
Uncorrected energy in eV/cell: -144.2

Geometry as CIF:
```
data_YMnCo2Re
_cell_length_a 4.124
_cell_length_b 4.124
_cell_length_c 4.659
_cell_angle_alpha 90.00
_cell_angle_beta 90.00
_cell_angle_gamma 90.00
_symmetry_space_group_name_H-M 'P 4/m m m'
_symmetry_Int_Tables_number 123
_symmetry_space_group_name_Hall '-P 4 2'
loop_
_atom_site_label
_atom_site_type_symbol
_atom_site_fract_x
_atom_site_fract_y
_atom_site_fract_z
Y1 Y 0.000 0.000 0.000
Mn1 Mn 0.000 0.000 0.500
Co1 Co 0.000 0.500 0.500
Re1 Re 0.500 0.500 0.000
```